Computed, not measured: a relaxed structure of CaNi2Rh at the GGA-PBE level of DFT.

Values from the calculation:
ΔH_f (0 K): 0.126 eV per atom
Uncorrected energy: -5.103 eV per atom
D(E_F): 8.37 states/eV per cell

```
data_CaNi2Rh
_cell_length_a 4.414
_cell_length_b 4.414
_cell_length_c 4.414
_cell_angle_alpha 60.00
_cell_angle_beta 60.00
_cell_angle_gamma 60.00
_space_group_name_H-M_alt 'P 1'
_space_group_IT_number 1
_space_group_name_Hall 'P 1'
loop_
_atom_site_label
_atom_site_type_symbol
_atom_site_fract_x
_atom_site_fract_y
_atom_site_fract_z
Rh1 Rh 0.500 0.500 0.500
Ni1 Ni 0.750 0.750 0.750
Ni2 Ni 0.250 0.250 0.250
Ca1 Ca 0.000 0.000 0.000
```